The following is a PBE-GGA calculation of crystalline CaPm3Nd6Dy2 at its relaxed geometry, from Alexandria.

Formation enthalpy at 0 K, eV per atom: 0.034
Raw total energy, eV for the cell shown: -107.311
Spin magnetization, μB/cell: 0.0

Cell lengths 6.3649, 11.0286, 12.0514 Å; angles 90.00, 100.09, 90.00 degrees
Last column: nearest neighbours and their distance in Å.
Space group C2/m (No. 12)
Inequivalent atoms, fractional coordinates:
Ca 0.0000 0.0000 0.0000 (multiplicity 2)  6 Nd 3.67, 6 Dy 3.68
Pm 0.0000 0.1664 0.5000 (multiplicity 4)  6 Nd 3.62-3.66, 6 Pm 3.67-3.68
Pm 0.0000 0.5000 0.5000 (multiplicity 2)  6 Nd 3.62-3.66, 6 Pm 3.67-3.68
Nd 0.2432 0.5000 0.2503 (multiplicity 4)  3 Pm 3.62-3.66, 6 Nd 3.63-3.76, 2 Dy 3.64, 1 Ca 3.67
Nd 0.2458 0.3296 0.7503 (multiplicity 8)  3 Pm 3.62-3.66, 2 Dy 3.63, 6 Nd 3.63-3.76, 1 Ca 3.67
Dy 0.0000 0.3333 0.0000 (multiplicity 4)  6 Nd 3.63-3.64, 3 Dy 3.67-3.68, 3 Ca 3.68

The following is a PBE-GGA calculation of crystalline CaPmNd6Dy2 at its relaxed geometry, from Alexandria.

Formation enthalpy at 0 K, eV per atom: 0.131
Raw total energy, eV for the cell shown: -173.033
Spin magnetization, μB/cell: 0.0

Cell lengths 9.2591, 15.5319, 9.9310 Å; angles 90.00, 98.33, 90.00 degrees
Last column: nearest neighbours and their distance in Å.
Space group C2/c (No. 15)
Inequivalent atoms, fractional coordinates:
Ca 0.0000 0.0977 0.2500 (multiplicity 4)  6 Nd 3.59-3.68, 2 Dy 3.67
Pm 0.0000 0.4735 0.7500 (multiplicity 4)  4 Dy 3.47-3.50, 4 Nd 3.69-3.71
Nd 0.0628 0.3239 0.4479 (multiplicity 8)  4 Nd 3.44-3.79, 1 Dy 3.49, 1 Pm 3.71
Nd 0.1031 0.1065 0.6220 (multiplicity 8)  3 Nd 3.28-3.44, 3 Dy 3.35-3.51, 1 Ca 3.60
Nd 0.2031 0.2703 0.8231 (multiplicity 8)  2 Nd 3.28-3.55, 2 Dy 3.54-3.67, 1 Ca 3.59
Dy 0.2486 0.4498 0.0443 (multiplicity 8)  6 Nd 3.35-3.67, 2 Pm 3.47-3.50, 1 Ca 3.67

The following is a PBE-GGA calculation of crystalline CaPm6NdDy2 at its relaxed geometry, from Alexandria.

Formation enthalpy at 0 K, eV per atom: 0.134
Raw total energy, eV for the cell shown: -172.568
Spin magnetization, μB/cell: 0.0

Cell lengths 9.2167, 15.4636, 9.8919 Å; angles 90.00, 98.16, 90.00 degrees
Last column: nearest neighbours and their distance in Å.
Space group C2/c (No. 15)
Inequivalent atoms, fractional coordinates:
Ca 0.0000 0.0976 0.2500 (multiplicity 4)  8 Pm 3.58-4.00, 2 Dy 3.66
Pm 0.0633 0.3227 0.4481 (multiplicity 8)  4 Pm 3.43-3.75, 1 Dy 3.49, 1 Nd 3.71
Pm 0.1027 0.1071 0.6220 (multiplicity 8)  3 Pm 3.26-3.43, 3 Dy 3.34-3.50, 1 Ca 3.59
Pm 0.2027 0.2699 0.8236 (multiplicity 8)  2 Pm 3.26-3.53, 2 Dy 3.52-3.63, 1 Ca 3.58
Nd 0.0000 0.4740 0.7500 (multiplicity 4)  4 Dy 3.47-3.49, 4 Pm 3.69-3.71
Dy 0.2503 0.0509 0.9558 (multiplicity 8)  6 Pm 3.34-3.63, 2 Nd 3.47-3.49, 1 Ca 3.66

The following is a PBE-GGA calculation of crystalline CaPrNdDy at its relaxed geometry, from Alexandria.

Formation enthalpy at 0 K, eV per atom: 0.116
Raw total energy, eV for the cell shown: -62.741
Spin magnetization, μB/cell: 0.0

Cell lengths 8.2952, 8.2952, 8.2952 Å; angles 90.00, 90.00, 90.00 degrees
Last column: nearest neighbours and their distance in Å.
Space group F-43m (No. 216)
Inequivalent atoms, fractional coordinates:
Ca 0.0000 0.0000 0.0000 (multiplicity 4)  4 Nd 3.59, 4 Pr 3.59
Pr 0.2500 0.2500 0.2500 (multiplicity 4)  4 Dy 3.59, 4 Ca 3.59
Nd 0.2500 0.2500 0.7500 (multiplicity 4)  4 Dy 3.59, 4 Ca 3.59
Dy 0.0000 0.0000 0.5000 (multiplicity 4)  4 Pr 3.59, 4 Nd 3.59

The following is a PBE-GGA calculation of crystalline CaPr4Nd2Dy at its relaxed geometry, from Alexandria.

Formation enthalpy at 0 K, eV per atom: 0.357
Raw total energy, eV for the cell shown: -129.619
Spin magnetization, μB/cell: 0.0

Cell lengths 14.0816, 13.6418, 6.9767 Å; angles 90.00, 119.70, 90.00 degrees
Last column: nearest neighbours and their distance in Å.
Space group C2/c (No. 15)
Inequivalent atoms, fractional coordinates:
Ca 0.0000 0.0000 0.0000 (multiplicity 4)  6 Pr 3.41-3.65, 2 Ca 3.49
Pr 0.0016 0.2503 0.0045 (multiplicity 8)  3 Nd 3.41-3.53, 1 Ca 3.41, 2 Pr 3.45-3.53, 2 Dy 3.51-3.55
Pr 0.2389 0.4985 0.9867 (multiplicity 8)  1 Dy 3.39, 3 Nd 3.40-3.43, 2 Pr 3.49, 2 Ca 3.63-3.65
Nd 0.0000 0.5000 0.0000 (multiplicity 4)  6 Pr 3.40-3.41, 2 Nd 3.49
Nd 0.2500 0.2500 0.5000 (multiplicity 4)  6 Pr 3.43-3.53, 2 Dy 3.49
Dy 0.2500 0.2500 0.0000 (multiplicity 4)  6 Pr 3.39-3.55, 2 Nd 3.49

The following is a PBE-GGA calculation of crystalline CaPr6Nd2Dy at its relaxed geometry, from Alexandria.

Formation enthalpy at 0 K, eV per atom: 0.137
Raw total energy, eV for the cell shown: -173.773
Spin magnetization, μB/cell: 0.0

Cell lengths 9.8707, 15.3488, 9.5291 Å; angles 90.00, 93.41, 90.00 degrees
Last column: nearest neighbours and their distance in Å.
Space group C2/c (No. 15)
Inequivalent atoms, fractional coordinates:
Ca 0.0000 0.0795 0.2500 (multiplicity 4)  6 Pr 3.49-3.73, 2 Nd 3.56
Pr 0.0737 0.1390 0.6001 (multiplicity 8)  4 Pr 3.28-3.61, 1 Ca 3.49, 1 Nd 3.54
Pr 0.0784 0.3464 0.4213 (multiplicity 8)  4 Pr 3.46-3.61, 2 Dy 3.57-3.73, 2 Nd 3.59-3.71
Pr 0.2371 0.2769 0.8248 (multiplicity 8)  3 Pr 3.35-3.59, 1 Dy 3.46, 1 Ca 3.51, 2 Nd 3.55-3.69
Nd 0.2442 0.4532 0.0655 (multiplicity 8)  2 Dy 3.48-3.75, 7 Pr 3.54-3.83, 1 Ca 3.56
Dy 0.0000 0.4393 0.7500 (multiplicity 4)  6 Pr 3.46-3.73, 4 Nd 3.48-3.75